(1)
DFT (GGA-PBE) results for a geometry-optimized B7C3 structure.

a = 7.920 Å, b = 2.687 Å, c = 6.308 Å
α = 90.00°, β = 95.77°, γ = 90.00°
Space group Cm (No. 8)
Asymmetric unit:
B  0.000  0.000  0.000
B  0.005  0.000  0.292
B  0.066  0.500  0.659
B  0.172  0.000  0.803
B  0.288  0.500  0.163
B  0.339  0.000  0.570
B  0.405  0.000  0.846
C  0.082  0.500  0.404
C  0.207  0.000  0.060
C  0.281  0.500  0.441

Summary:
* D(E_F): 2.98 states/eV/cell
* offset from the most stable computed form: 83.4 kJ/mol of formula units


(2)
DFT (GGA-PBE) results for a geometry-optimized TcSbS structure.

a = 6.379 Å, b = 6.247 Å, c = 6.404 Å
α = 90.00°, β = 114.10°, γ = 90.00°
Space group P2_1/c (No. 14)
Asymmetric unit:
Tc  0.189  0.010  0.186
Sb  0.354  0.629  0.135
S  0.157  0.133  0.826

Summary:
* ΔE_f (raw): -0.32 eV/atom
* D(E_F): 4.21 states/eV/cell


(3)
DFT (GGA-PBE) results for a geometry-optimized CoReI2 structure.

a = 6.726 Å, b = 6.726 Å, c = 6.726 Å
α = 90.00°, β = 90.00°, γ = 90.00°
Space group Fm-3m (No. 225)
Asymmetric unit:
Co  0.000  0.000  0.000
Re  0.000  0.000  0.500
I  0.250  0.250  0.250

Summary:
* ΔE_f (raw): 1.36 eV/atom
* D(E_F): 15.39 states/eV/cell
* offset from the most stable computed form: 72.8 kJ/mol of formula units


(4)
DFT (GGA-PBE) results for a geometry-optimized ScAg2Br structure.

a = 3.189 Å, b = 4.659 Å, c = 11.763 Å
α = 90.00°, β = 90.00°, γ = 90.00°
Space group Immm (No. 71)
Asymmetric unit:
Sc  0.000  0.000  0.000
Ag  0.000  0.500  0.278
Br  0.000  0.000  0.500

Summary:
* ΔE_f (raw): -0.26 eV/atom
* D(E_F): 5.43 states/eV/cell
* offset from the most stable computed form: 48.3 kJ/mol of formula units


(5)
DFT (GGA-PBE) results for a geometry-optimized SiAs2Ru structure.

a = 2.945 Å, b = 4.950 Å, c = 9.252 Å
α = 90.00°, β = 90.00°, γ = 90.00°
Space group Cmmm (No. 65)
Asymmetric unit:
Si  0.000  0.000  0.000
As  0.000  0.500  0.278
Ru  0.000  0.000  0.500

Summary:
* ΔE_f (raw): 0.39 eV/atom
* D(E_F): 6.27 states/eV/cell


(6)
DFT (GGA-PBE) results for a geometry-optimized TlMoW2 structure.

a = 10.220 Å, b = 3.329 Å, c = 4.598 Å
α = 90.00°, β = 116.64°, γ = 90.00°
Space group Cm (No. 8)
Asymmetric unit:
Tl  0.000  0.000  0.000
Mo  0.234  0.000  0.734
W  0.266  0.500  0.266
W  0.497  0.000  0.497

Summary:
* D(E_F): 6.83 states/eV/cell
* offset from the most stable computed form: 70.1 kJ/mol of formula units


(7)
DFT (GGA-PBE) results for a geometry-optimized CsNaB structure.

a = 3.315 Å, b = 6.512 Å, c = 10.339 Å
α = 90.00°, β = 96.43°, γ = 90.00°
Space group Pm (No. 6)
Asymmetric unit:
Cs  0.000  0.000  0.000
Cs  0.080  0.500  0.329
Na  0.295  0.500  0.772
Na  0.684  0.000  0.587
B  0.288  0.500  0.027
B  0.775  0.500  0.022

Summary:
* D(E_F): 2.34 states/eV/cell
* offset from the most stable computed form: 0.0 kJ/mol of formula units


(8)
DFT (GGA-PBE) results for a geometry-optimized CsCaIO2 structure.

a = 4.680 Å, b = 4.680 Å, c = 6.631 Å
α = 90.00°, β = 90.00°, γ = 90.00°
Space group P4/mmm (No. 123)
Asymmetric unit:
Cs  0.000  0.000  0.000
Ca  0.500  0.500  0.500
I  0.000  0.000  0.500
O  0.000  0.500  0.000

Summary:
* ΔE_f (raw): -0.26 eV/atom
* D(E_F): 2.95 states/eV/cell
* offset from the most stable computed form: 358.8 kJ/mol of formula units


(9)
DFT (GGA-PBE) results for a geometry-optimized Nd12Sm5Mg2 structure.

a = 15.933 Å, b = 9.304 Å, c = 8.700 Å
α = 90.00°, β = 93.12°, γ = 90.00°
Space group C2/m (No. 12)
Asymmetric unit:
Nd  0.058  0.000  0.340
Nd  0.077  0.500  0.881
Nd  0.128  0.195  0.685
Nd  0.146  0.316  0.237
Sm  0.000  0.500  0.500
Sm  0.205  0.000  0.029
Sm  0.232  0.500  0.570
Mg  0.000  0.163  0.000

Summary:
* D(E_F): 52.84 states/eV/cell
* electronic total energy: -4.340 eV per atom


(10)
DFT (GGA-PBE) results for a geometry-optimized KLuCdPb structure.

a = 7.820 Å, b = 7.820 Å, c = 7.820 Å
α = 90.00°, β = 90.00°, γ = 90.00°
Space group F-43m (No. 216)
Asymmetric unit:
K  0.000  0.000  0.000
Lu  0.000  0.000  0.500
Cd  0.250  0.250  0.750
Pb  0.250  0.250  0.250

Summary:
* D(E_F): 2.37 states/eV/cell
* electronic total energy: -2.651 eV per atom


(11)
DFT (GGA-PBE) results for a geometry-optimized Re3AgW structure.

a = 4.640 Å, b = 4.640 Å, c = 4.640 Å
α = 90.00°, β = 90.00°, γ = 90.00°
Space group Pm-3m (No. 221)
Asymmetric unit:
Re  0.000  0.000  0.500
Ag  0.000  0.000  0.000
W  0.500  0.500  0.500

Summary:
* D(E_F): 8.43 states/eV/cell
* offset from the most stable computed form: 447.0 kJ/mol of formula units


(12)
DFT (GGA-PBE) results for a geometry-optimized PmGdAs2 structure.

a = 7.273 Å, b = 7.273 Å, c = 7.273 Å
α = 90.00°, β = 90.00°, γ = 90.00°
Space group Fm-3m (No. 225)
Asymmetric unit:
Pm  0.000  0.000  0.000
Gd  0.000  0.000  0.500
As  0.250  0.250  0.250

Summary:
* D(E_F): 9.48 states/eV/cell
* offset from the most stable computed form: 170.6 kJ/mol of formula units


(13)
DFT (GGA-PBE) results for a geometry-optimized La2Pm7Mg structure.

a = 8.688 Å, b = 16.885 Å, c = 5.364 Å
α = 90.00°, β = 90.00°, γ = 90.00°
Space group Cmmm (No. 65)
Asymmetric unit:
La  0.000  0.206  0.000
Pm  0.000  0.000  0.000
Pm  0.000  0.287  0.500
Pm  0.180  0.394  0.000
Mg  0.000  0.500  0.500

Summary:
* D(E_F): 28.06 states/eV/cell
* electronic total energy: -3.900 eV per atom


(14)
DFT (GGA-PBE) results for a geometry-optimized Th5Hg2Os2 structure.

a = 17.644 Å, b = 8.343 Å, c = 7.013 Å
α = 90.00°, β = 90.00°, γ = 90.00°
Space group Ima2 (No. 46)
Asymmetric unit:
Th  0.031  0.234  0.000
Th  0.157  0.600  0.278
Th  0.250  0.211  0.172
Hg  0.106  0.534  0.773
Os  0.000  0.000  0.730
Os  0.250  0.519  0.974

Summary:
* D(E_F): 33.99 states/eV/cell
* offset from the most stable computed form: 170.8 kJ/mol of formula units


(15)
DFT (GGA-PBE) results for a geometry-optimized Ac2PmNd2 structure.

a = 18.135 Å, b = 6.862 Å, c = 6.612 Å
α = 90.00°, β = 108.21°, γ = 90.00°
Space group C2/c (No. 15)
Asymmetric unit:
Ac  0.192  0.144  0.196
Pm  0.000  0.079  0.250
Nd  0.089  0.381  0.659

Summary:
* D(E_F): 29.37 states/eV/cell
* offset from the most stable computed form: 0.0 kJ/mol of formula units


(16)
DFT (GGA-PBE) results for a geometry-optimized K2TlHg5 structure.

a = 5.842 Å, b = 5.842 Å, c = 14.782 Å
α = 90.00°, β = 90.00°, γ = 90.00°
Space group I4/mmm (No. 139)
Asymmetric unit:
K  0.000  0.000  0.246
Tl  0.000  0.000  0.500
Hg  0.000  0.000  0.000
Hg  0.000  0.500  0.110

Summary:
* D(E_F): 11.49 states/eV/cell
* offset from the most stable computed form: 10.5 kJ/mol of formula units


(17)
DFT (GGA-PBE) results for a geometry-optimized Sm2ErSi2 structure.

a = 7.530 Å, b = 7.530 Å, c = 4.328 Å
α = 90.00°, β = 90.00°, γ = 90.00°
Space group P4/mbm (No. 127)
Asymmetric unit:
Sm  0.177  0.323  0.000
Er  0.000  0.000  0.500
Si  0.116  0.616  0.500

Summary:
* ΔE_f (raw): -0.71 eV/atom
* D(E_F): 8.31 states/eV/cell
* offset from the most stable computed form: 0.0 kJ/mol of formula units


(18)
DFT (GGA-PBE) results for a geometry-optimized K6RbTl4 structure.

a = 9.230 Å, b = 9.230 Å, c = 13.486 Å
α = 90.00°, β = 90.00°, γ = 90.00°
Space group I-42m (No. 121)
Asymmetric unit:
K  0.000  0.500  0.000
K  0.189  0.189  0.218
Rb  0.000  0.000  0.500
Tl  0.146  0.146  0.939

Summary:
* D(E_F): 13.93 states/eV/cell
* electronic total energy: -1.630 eV per atom


(19)
DFT (GGA-PBE) results for a geometry-optimized DyTh2Hg4 structure.

a = 5.165 Å, b = 5.165 Å, c = 14.994 Å
α = 90.00°, β = 90.00°, γ = 90.00°
Space group I4/mmm (No. 139)
Asymmetric unit:
Dy  0.000  0.000  0.000
Th  0.000  0.000  0.258
Hg  0.000  0.500  0.109

Summary:
* D(E_F): 15.68 states/eV/cell
* electronic total energy: -3.143 eV per atom